The following is a DFT calculation (PBE) of a geometry-optimized Sc4Ru3 structure.

Its volume is 18.808 Å³ per atom. For the total energy, the calculation gives -7.85 eV per atom. The value obtained for the energy relative to the lowest polymorph listed for this composition is 0.1615 eV per atom. The calculation puts the formation enthalpy at 0 K at -0.253 eV/atom.

The space group is I4/mmm (No. 139) and the conventional cell measures 3.264, 3.264 and 24.721 Å, with angles of 90.00, 90.00 and 90.00 degrees. The inequivalent atoms are Sc at (0.000, 0.000, 0.061), Sc at (0.000, 0.000, 0.338), Ru at (0.000, 0.000, 0.214) and Ru at (0.000, 0.000, 0.500).


The following is a DFT calculation (PBE) of a geometry-optimized Cs2WC structure.

Its volume is 44.562 Å³ per atom. For the total energy, the calculation gives -3.17 eV per atom. The calculation puts the formation enthalpy at 0 K at 2.801 eV/atom.

The space group is Fm-3m (No. 225) and the conventional cell measures 8.934, 8.934 and 8.934 Å, with angles of 90.00, 90.00 and 90.00 degrees. The inequivalent atoms are Cs at (0.250, 0.250, 0.250), W at (0.000, 0.000, 0.000) and C at (0.000, 0.000, 0.500).


The following is a DFT calculation (PBE) of a geometry-optimized NaIn2Pb2 structure.

Its volume is 28.745 Å³ per atom. For the total energy, the calculation gives -2.92 eV per atom. The value obtained for the energy relative to the lowest polymorph listed for this composition is 0.0000 eV per atom. The calculation puts the formation enthalpy at 0 K at -0.072 eV/atom.

The space group is C2/m (No. 12) and the conventional cell measures 10.631, 4.952 and 7.598 Å, with angles of 90.00, 134.05 and 90.00 degrees. The inequivalent atoms are Na at (0.000, 0.000, 0.000), In at (0.100, 0.500, 0.400) and Pb at (0.199, 0.000, 0.796).


The following is a DFT calculation (PBE) of a geometry-optimized Eu3Ta5N12 structure.

The uncorrected formation energy comes out at -0.881 eV/atom. Its volume is 14.124 Å³ per atom. For the total energy, the calculation gives -10.38 eV per atom.

The space group is Ia-3d (No. 230) and the conventional cell measures 13.123, 13.123 and 13.123 Å, with angles of 90.00, 90.00 and 90.00 degrees. The inequivalent atoms are Eu at (0.000, 0.250, 0.125), Ta at (0.000, 0.000, 0.000), Ta at (0.000, 0.250, 0.375) and N at (0.031, 0.051, 0.648).


The following is a DFT calculation (PBE) of a geometry-optimized La3Cd4Au4 structure.

Its volume is 25.030 Å³ per atom. For the total energy, the calculation gives -3.46 eV per atom. The calculation puts the formation enthalpy at 0 K at -0.591 eV/atom.

The space group is Immm (No. 71) and the conventional cell measures 4.309, 8.235 and 15.518 Å, with angles of 90.00, 90.00 and 90.00 degrees. The inequivalent atoms are La at (0.000, 0.000, 0.000), La at (0.000, 0.500, 0.121), Cd at (0.000, 0.306, 0.328), Au at (0.000, 0.000, 0.229) and Au at (0.000, 0.191, 0.500).


The following is a DFT calculation (PBE) of a geometry-optimized Ca6SiN2 structure.

The uncorrected formation energy comes out at -0.576 eV/atom. Its volume is 25.739 Å³ per atom. For the total energy, the calculation gives -4.36 eV per atom.

The space group is C2/m (No. 12) and the conventional cell measures 12.445, 4.961 and 8.765 Å, with angles of 90.00, 121.10 and 90.00 degrees. The inequivalent atoms are Ca at (0.024, 0.000, 0.186), Ca at (0.161, 0.500, 0.607), Ca at (0.210, 0.500, 0.081), Si at (0.000, 0.000, 0.500) and N at (0.177, 0.000, 0.085).


The following is a DFT calculation (PBE) of a geometry-optimized CuTcMoPd2 structure.

Its volume is 17.469 Å³ per atom. For the total energy, the calculation gives -5.77 eV per atom. The calculation puts the formation enthalpy at 0 K at 1.369 eV/atom.

The space group is P4/mmm (No. 123) and the conventional cell measures 4.423, 4.423 and 4.465 Å, with angles of 90.00, 90.00 and 90.00 degrees. The inequivalent atoms are Cu at (0.000, 0.000, 0.000), Tc at (0.000, 0.000, 0.500), Mo at (0.500, 0.500, 0.500) and Pd at (0.000, 0.500, 0.000).


The following is a DFT calculation (PBE) of a geometry-optimized Cs2TlGaHg structure.

Its volume is 56.874 Å³ per atom. For the total energy, the calculation gives -1.45 eV per atom. The calculation puts the formation enthalpy at 0 K at 0.027 eV/atom.

The space group is P4/mmm (No. 123) and the conventional cell measures 7.395, 7.395 and 5.200 Å, with angles of 90.00, 90.00 and 90.00 degrees. The inequivalent atoms are Cs at (0.000, 0.500, 0.000), Tl at (0.000, 0.000, 0.500), Ga at (0.000, 0.000, 0.000) and Hg at (0.500, 0.500, 0.500).


The following is a DFT calculation (PBE) of a geometry-optimized NaSm2PbS4 structure.

The uncorrected formation energy comes out at -1.496 eV/atom. Its volume is 24.549 Å³ per atom. For the total energy, the calculation gives -5.37 eV per atom.

The space group is Imma (No. 74) and the conventional cell measures 8.203, 8.267 and 11.583 Å, with angles of 90.00, 90.00 and 90.00 degrees. The inequivalent atoms are Na at (0.250, 0.250, 0.250), Sm at (0.000, 0.000, 0.000), Sm at (0.250, 0.250, 0.750), Pb at (0.000, 0.000, 0.500), S at (0.000, 0.011, 0.756) and S at (0.238, 0.250, 0.997).


The following is a DFT calculation (PBE) of a geometry-optimized Li2Al4Cu3 structure.

Its volume is 13.549 Å³ per atom. For the total energy, the calculation gives -3.64 eV per atom. The calculation puts the formation enthalpy at 0 K at -0.185 eV/atom.

The space group is P-1 (No. 2) and the conventional cell measures 4.111, 4.309 and 7.859 Å, with angles of 85.68, 89.97 and 61.51 degrees. The inequivalent atoms are Li at (0.174, 0.150, 0.234), Al at (0.164, 0.173, 0.891), Al at (0.489, 0.524, 0.665), Cu at (0.161, 0.179, 0.566) and Cu at (0.500, 0.500, 0.000).


The following is a DFT calculation (PBE) of a geometry-optimized SiSbRu2 structure.

The uncorrected formation energy comes out at -0.195 eV/atom. Its volume is 15.134 Å³ per atom. For the total energy, the calculation gives -7.22 eV per atom. The value obtained for the energy relative to the lowest polymorph listed for this composition is 0.0000 eV per atom.

The space group is P2/m (No. 10) and the conventional cell measures 3.048, 3.044 and 6.524 Å, with angles of 90.00, 90.07 and 90.00 degrees. The inequivalent atoms are Si at (0.000, 0.000, 0.000), Sb at (0.000, 0.000, 0.500) and Ru at (0.496, 0.500, 0.216).


The following is a DFT calculation (PBE) of a geometry-optimized KTeIr2 structure.

The uncorrected formation energy comes out at 0.582 eV/atom. Its volume is 24.109 Å³ per atom. For the total energy, the calculation gives -4.91 eV per atom.

The space group is C2/m (No. 12) and the conventional cell measures 9.029, 3.104 and 6.953 Å, with angles of 90.00, 98.23 and 90.00 degrees. The inequivalent atoms are K at (0.000, 0.000, 0.000), Te at (0.000, 0.500, 0.500) and Ir at (0.234, 0.000, 0.652).


The following is a DFT calculation (PBE) of a geometry-optimized Hf2BeSi structure.

The uncorrected formation energy comes out at -0.609 eV/atom. Its volume is 16.418 Å³ per atom. For the total energy, the calculation gives -7.87 eV per atom. The value obtained for the energy relative to the lowest polymorph listed for this composition is 0.0078 eV per atom.

The space group is Amm2 (No. 38) and the conventional cell measures 3.596, 3.745 and 9.754 Å, with angles of 90.00, 90.00 and 90.00 degrees. The inequivalent atoms are Hf at (0.000, 0.000, 0.000), Hf at (0.500, 0.000, 0.294), Be at (0.500, 0.000, 0.575) and Si at (0.000, 0.000, 0.713).


The following is a DFT calculation (PBE) of a geometry-optimized Tm2ThTl9 structure.

Its volume is 27.140 Å³ per atom. For the total energy, the calculation gives -3.30 eV per atom. The calculation puts the formation enthalpy at 0 K at -0.166 eV/atom.

The space group is P4/mmm (No. 123) and the conventional cell measures 4.771, 4.771 and 14.311 Å, with angles of 90.00, 90.00 and 90.00 degrees. The inequivalent atoms are Tm at (0.000, 0.000, 0.166), Th at (0.000, 0.000, 0.500), Tl at (0.000, 0.500, 0.000), Tl at (0.000, 0.500, 0.328), Tl at (0.500, 0.500, 0.164) and Tl at (0.500, 0.500, 0.500).


The following is a DFT calculation (PBE) of a geometry-optimized CsLiTe2 structure.

The uncorrected formation energy comes out at -0.810 eV/atom. Its volume is 36.682 Å³ per atom. For the total energy, the calculation gives -3.07 eV per atom. The value obtained for the energy relative to the lowest polymorph listed for this composition is 0.0158 eV per atom.

The space group is Pna2_1 (No. 33) and the conventional cell measures 10.212, 9.902 and 5.804 Å, with angles of 90.00, 90.00 and 90.00 degrees. The inequivalent atoms are Cs at (0.002, 0.162, 0.000), Li at (0.133, 0.500, 0.750), Te at (0.151, 0.502, 0.249) and Te at (0.248, 0.753, 0.000).


The following is a DFT calculation (PBE) of a geometry-optimized Y3HPb structure.

Its volume is 40.252 Å³ per atom. For the total energy, the calculation gives -4.92 eV per atom. The value obtained for the energy relative to the lowest polymorph listed for this composition is 0.8303 eV per atom.

The space group is R3m (No. 160, hexagonal axes) and the conventional cell measures 7.1763, 7.1763 and 13.5379 Å, with angles of 90.00, 90.00 and 120.00 degrees. The inequivalent atoms are Y at (0.0083, 0.5041, 0.0000), H at (0.0000, 0.0000, 0.2681) and Pb at (0.0000, 0.0000, 0.5046).


The following is a DFT calculation (PBE) of a geometry-optimized KNa4Tl8 structure.

Its volume is 30.436 Å³ per atom. For the total energy, the calculation gives -2.02 eV per atom. The calculation puts the formation enthalpy at 0 K at -0.075 eV/atom.

The space group is I4/mmm (No. 139) and the conventional cell measures 11.192, 11.192 and 6.318 Å, with angles of 90.00, 90.00 and 90.00 degrees. The inequivalent atoms are K at (0.000, 0.000, 0.000), Na at (0.250, 0.250, 0.250), Tl at (0.000, 0.217, 0.500) and Tl at (0.000, 0.357, 0.000).


The following is a DFT calculation (PBE) of a geometry-optimized BaPuBS4 structure.

The uncorrected formation energy comes out at -1.352 eV/atom. Its volume is 22.021 Å³ per atom. For the total energy, the calculation gives -6.99 eV per atom.

The space group is P2_1/m (No. 11) and the conventional cell measures 5.779, 6.399 and 8.423 Å, with angles of 90.00, 98.13 and 90.00 degrees. The inequivalent atoms are Ba at (0.207, 0.250, 0.398), Pu at (0.326, 0.750, 0.035), B at (0.171, 0.250, 0.795), S at (0.133, 0.750, 0.327), S at (0.172, 0.250, 0.027) and S at (0.339, 0.000, 0.752).


The following is a DFT calculation (PBE) of a geometry-optimized CsSnTe3 structure.

The uncorrected formation energy comes out at -0.467 eV/atom. Its volume is 45.067 Å³ per atom. For the total energy, the calculation gives -3.32 eV per atom.

The space group is Cc (No. 9) and the conventional cell measures 10.531, 11.485 and 8.865 Å, with angles of 90.00, 122.79 and 90.00 degrees. The inequivalent atoms are Cs at (0.000, 0.175, 0.000), Sn at (0.071, 0.413, 0.590), Te at (0.230, 0.438, 0.986), Te at (0.285, 0.031, 0.494) and Te at (0.299, 0.196, 0.739).


The following is a DFT calculation (PBE) of a geometry-optimized TbNdTh4 structure.

Its volume is 32.720 Å³ per atom. For the total energy, the calculation gives -6.46 eV per atom. The value obtained for the energy relative to the lowest polymorph listed for this composition is 0.0000 eV per atom. The calculation puts the formation enthalpy at 0 K at 0.052 eV/atom.

The space group is Cmmm (No. 65) and the conventional cell measures 5.045, 15.321 and 5.080 Å, with angles of 90.00, 90.00 and 90.00 degrees. The inequivalent atoms are Tb at (0.000, 0.000, 0.000), Nd at (0.000, 0.500, 0.500), Th at (0.000, 0.169, 0.500) and Th at (0.000, 0.330, 0.000).